Entry 1:
Cs2RbTlCl6 at its PBEsol-relaxed geometry. Source: Alexandria via LeMat-Bulk, functional SCAN.

Space group: Fm-3m, No. 225
D(E_F): 0.000 states/eV per atom
Spin magnetization: 0.000 μB/atom

The structure in extended XYZ format:
```
10
Lattice="0.0000 5.6009 5.6009 5.6009 0.0000 5.6009 5.6009 5.6009 0.0000" Properties=species:S:1:pos:R:3 pbc="T T T"
Cs 2.8004 2.8004 2.8004
Cs 8.4013 8.4013 8.4013
Rb 0.0000 0.0000 0.0000
Tl 5.6009 5.6009 5.6009
Cl 5.6009 5.6009 3.0251
Cl 5.6009 3.0251 5.6009
Cl 8.1766 5.6009 5.6009
Cl 3.0251 5.6009 5.6009
Cl 5.6009 8.1766 5.6009
Cl 5.6009 5.6009 8.1766
```

Entry 2:
HPt2Au2 at its PBEsol-relaxed geometry. Source: Alexandria via LeMat-Bulk, functional SCAN.

Space group: P4/mbm, No. 127
D(E_F): 0.346 states/eV per atom
Spin magnetization: 0.000 μB/atom

The structure in extended XYZ format:
```
10
Lattice="5.3123 0.0000 0.0000 0.0000 5.3123 0.0000 0.0000 0.0000 4.9603" Properties=species:S:1:pos:R:3 pbc="T T T"
H 0.0000 0.0000 0.0000
H 2.6561 2.6561 0.0000
Pt 0.9480 1.7082 0.0000
Pt 1.7082 4.3643 0.0000
Pt 3.6041 0.9480 0.0000
Pt 4.3643 3.6041 0.0000
Au 0.9470 3.6031 2.4801
Au 1.7092 0.9470 2.4801
Au 3.6031 4.3653 2.4801
Au 4.3653 1.7092 2.4801
```

Entry 3:
Sr2LiPb2 at its PBEsol-relaxed geometry. Source: Alexandria via LeMat-Bulk, functional SCAN.

Space group: P4/mbm, No. 127
D(E_F): 0.463 states/eV per atom
Energy relative to the elements: -624 meV/atom
Spin magnetization: 0.000 μB/atom

The structure in extended XYZ format:
```
10
Lattice="8.0685 0.0000 0.0000 0.0000 8.0685 0.0000 0.0000 0.0000 5.0097" Properties=species:S:1:pos:R:3 pbc="T T T"
Sr 1.3215 2.7128 0.0000
Sr 2.7128 6.7470 0.0000
Sr 5.3557 1.3215 0.0000
Sr 6.7470 5.3557 0.0000
Li 0.0000 0.0000 2.5048
Li 4.0342 4.0342 2.5048
Pb 1.1223 5.1565 2.5048
Pb 2.9120 1.1223 2.5048
Pb 5.1565 6.9462 2.5048
Pb 6.9462 2.9120 2.5048
```

Entry 4:
TlBiOsCl2 at its PBEsol-relaxed geometry. Source: Alexandria via LeMat-Bulk, functional SCAN.

Space group: P4/mmm, No. 123
D(E_F): 0.982 states/eV per atom
Spin magnetization: 0.175 μB/atom

The structure in extended XYZ format:
```
5
Lattice="4.5908 0.0000 0.0000 0.0000 4.5908 0.0000 0.0000 0.0000 5.6969" Properties=species:S:1:pos:R:3 pbc="T T T"
Tl 0.0000 0.0000 0.0000
Bi 2.2954 2.2954 0.0000
Os 0.0000 0.0000 2.8485
Cl 0.0000 2.2954 2.8485
Cl 2.2954 0.0000 2.8485
```

Entry 5:
MnCd2Rh at its PBEsol-relaxed geometry. Source: Alexandria via LeMat-Bulk, functional SCAN.

Polymorph energy (0 for the lowest one): 0.0171 eV/atom
Space group: Imm2, No. 44
D(E_F): 0.347 states/eV per atom
Energy relative to the elements: -180 meV/atom
Spin magnetization: 1.094 μB/atom

The structure in extended XYZ format:
```
4
Lattice="-1.9499 2.0540 4.0429 1.9499 -2.0540 4.0429 1.9499 2.0540 -4.0429" Properties=species:S:1:pos:R:3 pbc="T T T"
Mn 0.0000 0.0000 0.0000
Cd 0.0000 0.0000 3.9712
Cd 0.0000 2.0540 1.9908
Rh 1.9499 0.0000 1.9163
```

Entry 6:
Ag5TePO4 at its PBEsol-relaxed geometry. Source: Alexandria via LeMat-Bulk, functional SCAN.

Space group: P4/nmm, No. 129
Spin magnetization: 0.000 μB/atom

The structure in extended XYZ format:
```
22
Lattice="6.9010 0.0000 0.0000 0.0000 6.9010 0.0000 0.0000 0.0000 7.2705" Properties=species:S:1:pos:R:3 pbc="T T T"
Ag 0.2069 0.2069 1.4324
Ag 0.2069 3.2436 1.4324
Ag 1.7253 1.7253 3.3412
Ag 3.2436 0.2069 1.4324
Ag 3.2436 3.2436 1.4324
Ag 3.6574 3.6574 5.8381
Ag 3.6574 6.6941 5.8381
Ag 5.1758 5.1758 3.9294
Ag 6.6941 3.6574 5.8381
Ag 6.6941 6.6941 5.8381
Te 1.7253 1.7253 7.1180
Te 5.1758 5.1758 0.1526
P 1.7253 5.1758 3.6353
P 5.1758 1.7253 3.6353
O 0.4401 5.1758 2.7480
O 1.7253 3.8906 4.5225
O 1.7253 6.4609 4.5225
O 3.0104 5.1758 2.7480
O 3.8906 1.7253 4.5225
O 5.1758 0.4401 2.7480
O 5.1758 3.0104 2.7480
O 6.4609 1.7253 4.5225
```

Entry 7:
CsYAl2Zn at its PBEsol-relaxed geometry. Source: Alexandria via LeMat-Bulk, functional SCAN.

Space group: P4/mmm, No. 123
D(E_F): 0.477 states/eV per atom
Energy relative to the elements: 650 meV/atom
Spin magnetization: 0.001 μB/atom

The structure in extended XYZ format:
```
5
Lattice="4.9381 0.0000 0.0000 0.0000 4.9381 0.0000 0.0000 0.0000 5.6693" Properties=species:S:1:pos:R:3 pbc="T T T"
Cs 0.0000 0.0000 0.0000
Y 2.4690 2.4690 0.0000
Al 0.0000 2.4690 2.8346
Al 2.4690 0.0000 2.8346
Zn 0.0000 0.0000 2.8346
```

Entry 8:
Be3Te at its PBEsol-relaxed geometry. Source: Alexandria via LeMat-Bulk, functional SCAN.

Polymorph energy (0 for the lowest one): 0.3550 eV/atom
Space group: Fm-3m, No. 225
D(E_F): 0.519 states/eV per atom
Spin magnetization: 0.000 μB/atom

The structure in extended XYZ format:
```
4
Lattice="0.0000 3.0203 3.0203 3.0203 0.0000 3.0203 3.0203 3.0203 0.0000" Properties=species:S:1:pos:R:3 pbc="T T T"
Be 0.0000 0.0000 0.0000
Be 1.5101 1.5101 1.5101
Be 4.5304 4.5304 4.5304
Te 3.0203 3.0203 3.0203
```

Entry 9:
Li2NiAg at its PBEsol-relaxed geometry. Source: Alexandria via LeMat-Bulk, functional SCAN.

Space group: P2/m, No. 10
D(E_F): 0.438 states/eV per atom
Energy relative to the elements: 36 meV/atom
Spin magnetization: 0.000 μB/atom

The structure in extended XYZ format:
```
4
Lattice="2.6502 0.0000 0.0000 0.0000 4.2071 0.0000 -0.5419 0.0000 4.7541" Properties=species:S:1:pos:R:3 pbc="T T T"
Li 0.4526 0.0000 1.2582
Li 1.6557 0.0000 3.4959
Ni -0.2710 2.1035 2.3770
Ag 1.3251 2.1035 0.0000
```

Entry 10:
KSb3O5 at its PBEsol-relaxed geometry. Source: Alexandria via LeMat-Bulk, functional SCAN.

Space group: P2_1/c, No. 14
D(E_F): 0.000 states/eV per atom
Spin magnetization: 0.000 μB/atom

The structure in extended XYZ format:
```
36
Lattice="6.8786 0.0000 0.0000 0.0000 13.7353 0.0000 -3.8467 0.0000 6.7799" Properties=species:S:1:pos:R:3 pbc="T T T"
K -1.4093 3.3727 3.0688
K -3.3327 3.4950 6.4588
K 6.3646 10.2403 0.3211
K 4.4413 10.3626 3.7111
Sb -2.6910 0.1248 4.8658
Sb -0.7677 6.7429 1.4759
Sb 2.6634 8.2385 0.9457
Sb 0.7400 12.3644 4.3357
Sb 1.1097 8.7460 3.9890
Sb 3.0331 11.8568 0.5991
Sb -0.0011 1.8784 6.1808
Sb 1.9222 4.9892 2.7909
Sb 2.2919 1.3709 2.4442
Sb 0.3686 5.4968 5.8342
Sb 3.7996 6.9924 5.3040
Sb 5.7229 13.6105 1.9140
O -2.1698 8.6621 6.0093
O -0.2465 11.9407 2.6194
O -0.9208 0.5882 4.0301
O 1.0025 6.2794 0.6401
O -1.8470 1.2271 6.4529
O 0.0763 5.6406 3.0630
O 1.0795 8.9166 1.9683
O -0.8439 11.6862 5.3583
O 1.2901 3.1427 2.3832
O -0.6332 3.7249 5.7731
O 3.6651 10.0104 1.0068
O 1.7418 10.5925 4.3967
O 3.8758 2.0490 1.4216
O 1.9525 4.8186 4.8116
O 2.9556 8.0947 3.7169
O 4.8790 12.5082 0.3270
O 2.0294 7.4559 6.1398
O 3.9528 13.1470 2.7498
O 3.2784 1.7945 4.1605
O 5.2018 5.0731 0.7706
```

Entry 11:
Re2TeW at its PBEsol-relaxed geometry. Source: Alexandria via LeMat-Bulk, functional SCAN.

Space group: Cmm2, No. 35
D(E_F): 0.914 states/eV per atom
Spin magnetization: 0.000 μB/atom

The structure in extended XYZ format:
```
4
Lattice="1.5514 -2.3385 0.0000 1.5514 2.3385 0.0000 0.0000 0.0000 9.4507" Properties=species:S:1:pos:R:3 pbc="T T T"
Re 0.0000 0.0000 0.0000
Re 1.5514 0.0000 2.0820
Te 0.0000 0.0000 4.7245
W 1.5514 0.0000 7.3258
```

Entry 12:
TlBrF2 at its PBEsol-relaxed geometry. Source: Alexandria via LeMat-Bulk, functional SCAN.

Space group: R-3m, No. 166
D(E_F): 0.687 states/eV per atom
Spin magnetization: 0.311 μB/atom

The structure in extended XYZ format:
```
4
Lattice="1.5810 0.9128 8.8123 -1.5810 0.9128 8.8123 0.0000 -1.8256 8.8123" Properties=species:S:1:pos:R:3 pbc="T T T"
Tl 0.0000 0.0000 0.0000
Br 0.0000 0.0000 13.2185
F 0.0000 0.0000 2.1168
F 0.0000 0.0000 24.3202
```

Entry 13:
TiGeSe2Br at its PBEsol-relaxed geometry. Source: Alexandria via LeMat-Bulk, functional SCAN.

Space group: P4/mmm, No. 123
D(E_F): 0.226 states/eV per atom
Spin magnetization: 0.395 μB/atom

The structure in extended XYZ format:
```
5
Lattice="4.9489 0.0000 0.0000 0.0000 4.9489 0.0000 0.0000 0.0000 4.9712" Properties=species:S:1:pos:R:3 pbc="T T T"
Ti 0.0000 0.0000 0.0000
Ge 2.4745 2.4745 2.4856
Se 0.0000 2.4745 2.4856
Se 2.4745 0.0000 2.4856
Br 2.4745 2.4745 0.0000
```

Entry 14:
CuIr2 at its PBEsol-relaxed geometry. Source: Alexandria via LeMat-Bulk, functional SCAN.

Polymorph energy (0 for the lowest one): 0.0266 eV/atom
Space group: Cm, No. 8
D(E_F): 0.906 states/eV per atom
Energy relative to the elements: 83 meV/atom
Spin magnetization: 0.000 μB/atom

The structure in extended XYZ format:
```
6
Lattice="4.9009 -1.3393 0.0000 4.9009 1.3393 0.0000 -1.6109 0.0000 6.1336" Properties=species:S:1:pos:R:3 pbc="T T T"
Cu 0.0000 0.0000 0.0000
Cu 5.8971 0.0000 1.9478
Ir -0.5216 0.0000 3.7348
Ir 2.1122 0.0000 4.0172
Ir 3.2865 0.0000 1.6846
Ir 5.5896 0.0000 5.7736
```

Entry 15:
YIn2Os at its PBEsol-relaxed geometry. Source: Alexandria via LeMat-Bulk, functional SCAN.

Space group: I-4m2, No. 119
D(E_F): 0.651 states/eV per atom
Energy relative to the elements: -11 meV/atom
Spin magnetization: 0.000 μB/atom

The structure in extended XYZ format:
```
4
Lattice="-2.2131 2.2131 4.0950 2.2131 -2.2131 4.0950 2.2131 2.2131 -4.0950" Properties=species:S:1:pos:R:3 pbc="T T T"
Y 0.0000 0.0000 0.0000
In 0.0000 0.0000 4.0950
In 0.0000 2.2131 2.0475
Os 2.2131 0.0000 2.0475
```

Entry 16:
K3TePd at its PBEsol-relaxed geometry. Source: Alexandria via LeMat-Bulk, functional SCAN.

Space group: Pm-3m, No. 221
D(E_F): 0.384 states/eV per atom
Spin magnetization: 0.176 μB/atom

The structure in extended XYZ format:
```
5
Lattice="5.7153 0.0000 0.0000 0.0000 5.7153 0.0000 0.0000 0.0000 5.7153" Properties=species:S:1:pos:R:3 pbc="T T T"
K 0.0000 0.0000 2.8577
K 0.0000 2.8577 0.0000
K 2.8577 0.0000 0.0000
Te 2.8577 2.8577 2.8577
Pd 0.0000 0.0000 0.0000
```

Entry 17:
AsRhBr at its PBEsol-relaxed geometry. Source: Alexandria via LeMat-Bulk, functional SCAN.

Polymorph energy (0 for the lowest one): 0.4248 eV/atom
Space group: F-43m, No. 216
D(E_F): 0.318 states/eV per atom
Spin magnetization: 0.000 μB/atom

The structure in extended XYZ format:
```
3
Lattice="0.0000 3.0586 3.0586 3.0586 0.0000 3.0586 3.0586 3.0586 0.0000" Properties=species:S:1:pos:R:3 pbc="T T T"
As 0.0000 0.0000 0.0000
Rh 1.5293 1.5293 1.5293
Br 3.0586 3.0586 3.0586
```

Entry 18:
ZrOs2Ru at its PBEsol-relaxed geometry. Source: Alexandria via LeMat-Bulk, functional SCAN.

Polymorph energy (0 for the lowest one): 0.0000 eV/atom
Space group: Cmmm, No. 65
D(E_F): 0.983 states/eV per atom
Energy relative to the elements: -22 meV/atom
Spin magnetization: 0.000 μB/atom

The structure in extended XYZ format:
```
4
Lattice="2.7649 -3.9011 0.0000 2.7649 3.9011 0.0000 0.0000 0.0000 2.8142" Properties=species:S:1:pos:R:3 pbc="T T T"
Zr 0.0000 0.0000 0.0000
Os 1.3824 1.9505 1.4071
Os 1.3824 -1.9505 1.4071
Ru 2.7649 0.0000 0.0000
```

Entry 19:
Rb2As2Pt at its PBEsol-relaxed geometry. Source: Alexandria via LeMat-Bulk, functional SCAN.

Space group: Cmcm, No. 63
D(E_F): 0.022 states/eV per atom
Energy relative to the elements: -629 meV/atom
Spin magnetization: 0.000 μB/atom

The structure in extended XYZ format:
```
10
Lattice="3.2842 -7.3435 0.0000 3.2842 7.3435 0.0000 0.0000 0.0000 6.1729" Properties=species:S:1:pos:R:3 pbc="T T T"
Rb 3.2842 6.1327 4.6297
Rb 3.2842 3.0113 1.5432
Rb 3.2842 -3.0113 4.6297
Rb 3.2842 -6.1327 1.5432
As 2.0635 1.5497 4.6297
As 2.0635 -1.5497 1.5432
As 4.5048 1.5497 4.6297
As 4.5048 -1.5497 1.5432
Pt 3.2842 0.0000 0.0000
Pt 3.2842 0.0000 3.0865
```

Entry 20:
CoNi2Rh at its PBEsol-relaxed geometry. Source: Alexandria via LeMat-Bulk, functional SCAN.

Polymorph energy (0 for the lowest one): 0.0000 eV/atom
Space group: I-4m2, No. 119
D(E_F): 0.768 states/eV per atom
Energy relative to the elements: -14 meV/atom
Spin magnetization: 1.109 μB/atom

The structure in extended XYZ format:
```
4
Lattice="-1.7864 1.7864 3.5464 1.7864 -1.7864 3.5464 1.7864 1.7864 -3.5464" Properties=species:S:1:pos:R:3 pbc="T T T"
Co 0.0000 0.0000 0.0000
Ni 0.0000 0.0000 3.5464
Ni 0.0000 1.7864 1.7732
Rh 1.7864 0.0000 1.7732
```

Entry 21:
CoSe2 at its PBEsol-relaxed geometry. Source: Alexandria via LeMat-Bulk, functional SCAN.

Space group: Pnma, No. 62
D(E_F): 0.498 states/eV per atom
Spin magnetization: 0.000 μB/atom

The structure in extended XYZ format:
```
12
Lattice="9.9482 0.0000 0.0000 0.0000 3.5608 0.0000 0.0000 0.0000 5.7889" Properties=species:S:1:pos:R:3 pbc="T T T"
Co 1.3840 0.8902 0.6614
Co 3.5900 2.6706 3.5558
Co 6.3581 0.8902 2.2331
Co 8.5641 2.6706 5.1275
Se 0.0742 0.8902 4.5290
Se 2.2821 0.8902 2.8288
Se 2.6920 2.6706 5.7233
Se 4.8999 2.6706 1.6345
Se 5.0483 0.8902 4.1544
Se 7.2562 0.8902 0.0656
Se 7.6660 2.6706 2.9601
Se 9.8739 2.6706 1.2600
```

Entry 22:
Ba2SrAg at its PBEsol-relaxed geometry. Source: Alexandria via LeMat-Bulk, functional SCAN.

Polymorph energy (0 for the lowest one): 0.0072 eV/atom
Space group: P4mm, No. 99
D(E_F): 0.789 states/eV per atom
Energy relative to the elements: -118 meV/atom
Spin magnetization: 0.001 μB/atom

The structure in extended XYZ format:
```
4
Lattice="4.0398 0.0000 0.0000 0.0000 4.0398 0.0000 0.0000 0.0000 10.4577" Properties=species:S:1:pos:R:3 pbc="T T T"
Ba 0.0000 0.0000 0.0000
Ba 2.0199 2.0199 3.4571
Sr 2.0199 2.0199 7.1752
Ag 0.0000 0.0000 5.4388
```

Entry 23:
Ag5Pb at its PBEsol-relaxed geometry. Source: Alexandria via LeMat-Bulk, functional SCAN.

Polymorph energy (0 for the lowest one): 0.0063 eV/atom
Space group: C2/m, No. 12
D(E_F): 0.279 states/eV per atom
Energy relative to the elements: 75 meV/atom
Spin magnetization: 0.000 μB/atom

The structure in extended XYZ format:
```
6
Lattice="4.6970 -2.0156 0.0000 4.6970 2.0156 0.0000 -1.9527 0.0000 5.7877" Properties=species:S:1:pos:R:3 pbc="T T T"
Ag 0.0000 0.0000 0.0000
Ag 2.7931 0.0000 0.8797
Ag 1.7894 0.0000 3.9464
Ag 5.6519 0.0000 1.8413
Ag 4.6483 0.0000 4.9080
Pb -0.9764 0.0000 2.8939
```

Entry 24:
TaCoP2 at its PBEsol-relaxed geometry. Source: Alexandria via LeMat-Bulk, functional SCAN.

Polymorph energy (0 for the lowest one): 0.3177 eV/atom
Space group: C2/m, No. 12
D(E_F): 0.784 states/eV per atom
Energy relative to the elements: 116 meV/atom
Spin magnetization: 0.000 μB/atom

The structure in extended XYZ format:
```
4
Lattice="2.7856 -3.7488 0.0000 2.7856 3.7488 0.0000 -1.0867 0.0000 2.5740" Properties=species:S:1:pos:R:3 pbc="T T T"
Ta 0.0000 0.0000 0.0000
Co 2.7856 0.0000 0.0000
P 0.8495 1.8744 1.2870
P 0.8495 -1.8744 1.2870
```

Entry 25:
NaAuSeBr2 at its PBEsol-relaxed geometry. Source: Alexandria via LeMat-Bulk, functional SCAN.

Space group: P4/mmm, No. 123
D(E_F): 0.769 states/eV per atom
Spin magnetization: 0.133 μB/atom

The structure in extended XYZ format:
```
5
Lattice="5.3044 0.0000 0.0000 0.0000 5.3044 0.0000 0.0000 0.0000 5.0246" Properties=species:S:1:pos:R:3 pbc="T T T"
Na 0.0000 0.0000 0.0000
Au 2.6522 2.6522 2.5123
Se 2.6522 2.6522 0.0000
Br 0.0000 2.6522 2.5123
Br 2.6522 0.0000 2.5123
```

| no. | raw total energy (eV/atom) | V (A^3/atom) |
| --- | --- | --- |
| 1 | -23.32 | 35.1 |
| 2 | -56.31 | 14.0 |
| 3 | -40.32 | 32.6 |
| 4 | -47.25 | 24.0 |
| 5 | -28.39 | 16.2 |
| 6 | -21.85 | 15.7 |
| 7 | -18.28 | 27.6 |
| 8 | -11.69 | 13.8 |
| 9 | -13.04 | 13.3 |
| 10 | -18.34 | 17.8 |
| 11 | -61.41 | 17.1 |
| 12 | -25.15 | 19.1 |
| 13 | -18.82 | 24.4 |
| 14 | -52.38 | 13.4 |
| 15 | -41.63 | 20.1 |
| 16 | -19.25 | 37.3 |
| 17 | -24.39 | 19.1 |
| 18 | -52.34 | 15.2 |
| 19 | -31.04 | 29.8 |
| 20 | -20.87 | 11.3 |
| 21 | -19.45 | 17.1 |
| 22 | -33.30 | 42.7 |
| 23 | -38.69 | 18.3 |
| 24 | -26.06 | 13.4 |
| 25 | -26.85 | 28.3 |